Entry 1:
Material: NbRe2NiO
Method: DFT, PBE with a Hubbard U
State: relaxed

abc: 4.036 4.036 4.151
angles: 90.00 90.00 90.00
Positions (direct):
Nb  0.000  0.000  0.000
Re  0.000  0.500  0.500
Re  0.500  0.000  0.500
Ni  0.500  0.500  0.000
O  0.000  0.000  0.500

Entry 2:
Material: NbNi2RhO6
Method: DFT, PBE with a Hubbard U
State: relaxed

abc: 5.761 5.761 3.973
angles: 90.00 90.00 90.00
Positions (direct):
Nb  0.000  0.000  0.000
Ni  0.000  0.500  0.162
Ni  0.500  0.000  0.162
Rh  0.500  0.500  0.045
O  0.000  0.000  0.542
O  0.247  0.247  0.069
O  0.247  0.753  0.069
O  0.500  0.500  0.548
O  0.753  0.247  0.069
O  0.753  0.753  0.069

Entry 3:
Material: NbNiSbO6
Method: DFT, PBE with a Hubbard U
State: relaxed

abc: 5.252 5.252 9.004
angles: 90.00 90.00 120.00
Positions (direct):
Nb  0.333  0.667  0.250
Nb  0.667  0.333  0.750
Ni  0.000  0.000  0.000
Ni  0.000  0.000  0.500
Sb  0.333  0.667  0.750
Sb  0.667  0.333  0.250
O  0.002  0.349  0.631
O  0.002  0.652  0.869
O  0.348  0.349  0.869
O  0.348  0.998  0.631
O  0.349  0.002  0.131
O  0.349  0.348  0.369
O  0.651  0.652  0.631
O  0.651  0.998  0.869
O  0.652  0.002  0.369
O  0.652  0.651  0.131
O  0.998  0.348  0.131
O  0.998  0.651  0.369

Entry 4:
Material: SmNbNi2O6
Method: DFT, PBE with a Hubbard U
State: relaxed

abc: 5.722 5.722 5.722
angles: 56.01 56.01 56.01
Positions (direct):
Sm  0.000  0.000  0.000
Nb  0.487  0.487  0.487
Ni  0.282  0.282  0.282
Ni  0.782  0.782  0.782
O  0.085  0.643  0.428
O  0.204  0.558  0.869
O  0.428  0.085  0.643
O  0.558  0.869  0.204
O  0.643  0.428  0.085
O  0.869  0.204  0.558

Entry 5:
Material: NbNi2SnO6
Method: DFT, PBE with a Hubbard U
State: relaxed

abc: 5.842 5.842 3.998
angles: 90.00 90.00 90.00
Positions (direct):
Nb  0.000  0.000  0.000
Ni  0.000  0.500  0.171
Ni  0.500  0.000  0.171
Sn  0.500  0.500  0.028
O  0.000  0.000  0.549
O  0.244  0.244  0.074
O  0.244  0.756  0.074
O  0.500  0.500  0.537
O  0.756  0.244  0.074
O  0.756  0.756  0.074

Entry 6:
Material: NbNi2TeO6
Method: DFT, PBE with a Hubbard U
State: relaxed

abc: 5.877 5.877 4.494
angles: 90.00 90.00 90.00
Positions (direct):
Nb  0.000  0.000  0.000
Ni  0.000  0.500  0.209
Ni  0.500  0.000  0.209
Te  0.500  0.500  0.030
O  0.000  0.000  0.605
O  0.236  0.236  0.117
O  0.236  0.764  0.117
O  0.500  0.500  0.622
O  0.764  0.236  0.117
O  0.764  0.764  0.117

Entry 7:
Material: NbTl3Ni2O6
Method: DFT, PBE with a Hubbard U
State: relaxed

abc: 5.521 5.521 6.719
angles: 97.74 97.74 120.05
Positions (direct):
Nb  0.000  0.000  0.000
Tl  0.169  0.831  0.500
Tl  0.500  0.500  0.500
Tl  0.831  0.169  0.500
Ni  0.333  0.667  0.000
Ni  0.667  0.333  0.000
O  0.055  0.371  0.164
O  0.260  0.260  0.832
O  0.371  0.055  0.164
O  0.629  0.945  0.836
O  0.740  0.740  0.168
O  0.945  0.629  0.836

| no. | calculated total energy (eV/atom) |
| --- | --- |
| 1 | -8.1754 |
| 2 | -6.2850 |
| 3 | -6.8406 |
| 4 | -7.1441 |
| 5 | -6.2466 |
| 6 | -5.9623 |
| 7 | -5.5558 |